Density functional theory data (PBE) for a relaxed TaIO2 crystal.

Computed properties:
final energy: -6.084 eV per atom
formation energy (no corrections): -254.5 meV/atom
volume: 67.9 Å³/cell

Lattice parameters (Å, degrees): 8.100 8.100 8.100 22.44 22.44 22.44
Positions (direct):
1 Ta 0.000 0.000 0.000
2 I 0.500 0.500 0.500
3 O 0.079 0.079 0.079
4 O 0.921 0.921 0.921

---

Density functional theory data (PBE) for a relaxed Ba4SnF10 crystal.

Computed properties:
final energy: -5.570 eV per atom
formation energy (no corrections): -3542.6 meV/atom
volume: 297.8 Å³/cell

Lattice parameters (Å, degrees): 7.592 7.592 7.592 99.61 99.61 131.78
Positions (direct):
1 Ba 0.101 0.298 0.398
2 Ba 0.298 0.899 0.197
3 Ba 0.702 0.101 0.803
4 Ba 0.899 0.702 0.602
5 Sn 0.500 0.500 0.000
6 F 0.065 0.162 0.709
7 F 0.162 0.452 0.097
8 F 0.250 0.750 0.500
9 F 0.356 0.065 0.903
10 F 0.452 0.356 0.291
11 F 0.548 0.644 0.709
12 F 0.644 0.935 0.097
13 F 0.750 0.250 0.500
14 F 0.838 0.548 0.903
15 F 0.935 0.838 0.291